Below is an optimized crystal structure of Al3TlSn, with properties calculated at the PBE level.

## Properties
Formation enthalpy at 0 K, eV/atom: 0.73

Cell lengths 5.344, 5.344, 5.344 Å; angles 90.00, 90.00, 90.00 degrees
Fractional positions:
Tl (0.500, 0.500, 0.500)
Al (0.000, 0.000, 0.500)
Al (0.000, 0.500, 0.000)
Al (0.500, 0.000, 0.000)
Sn (0.000, 0.000, 0.000)